# KP5Au2 | Alexandria | PBE-GGA | optimized geometry
# Calculated volume = 25.8 Å³ per atom
# Size of the total moment = 0.00 μB/cell
# N(E_F) = 0.40 states/eV per atom
# SG = Cmcm
# Energy relative to the elements = -22 kJ/mol of formula units
data_KP5Au2
_chemical_formula_sum 'K2 P10 Au4'
_symmetry_space_group_name_H-M 'P 1'
_symmetry_Int_Tables_number 1
_cell_length_a 9.3931
_cell_length_b 9.3931
_cell_length_c 11.4315
_cell_angle_alpha 90.00
_cell_angle_beta 90.00
_cell_angle_gamma 155.85
loop_
_symmetry_equiv_pos_as_xyz
'x,y,z'
loop_
_atom_site_label
_atom_site_fract_x
_atom_site_fract_y
_atom_site_fract_z
P1 0.0162 0.9838 0.5906
P2 0.9838 0.0162 0.0906
P3 0.8257 0.1743 0.4146
P4 0.8257 0.1743 0.0854
P5 0.0162 0.9838 0.9094
P6 0.2299 0.7701 0.7500
P7 0.1743 0.8257 0.5854
P8 0.1743 0.8257 0.9146
P9 0.7701 0.2299 0.2500
P10 0.9838 0.0162 0.4094
Au1 0.4059 0.5941 0.0967
Au2 0.4059 0.5941 0.4033
Au3 0.5941 0.4059 0.5967
Au4 0.5941 0.4059 0.9033
K1 0.4059 0.5941 0.7500
K2 0.5941 0.4059 0.2500

---

# Nd6NiRu2 | Alexandria | PBE-GGA | optimized geometry
# Calculated volume = 27.8 Å³ per atom
# Size of the total moment = 0.00 μB/cell
# N(E_F) = 0.90 states/eV per atom
# SG = P2_1/c
# Energy relative to the elements = -149 kJ/mol of formula units
data_Nd6NiRu2
_chemical_formula_sum 'Nd12 Ni2 Ru4'
_symmetry_space_group_name_H-M 'P 1'
_symmetry_Int_Tables_number 1
_cell_length_a 6.7472
_cell_length_b 7.4851
_cell_length_c 9.9240
_cell_angle_alpha 90.00
_cell_angle_beta 89.76
_cell_angle_gamma 90.00
loop_
_symmetry_equiv_pos_as_xyz
'x,y,z'
loop_
_atom_site_label
_atom_site_fract_x
_atom_site_fract_y
_atom_site_fract_z
Nd1 0.3399 0.5545 0.7453
Nd2 0.3258 0.8248 0.0719
Nd3 0.6742 0.1752 0.9281
Nd4 0.1742 0.3248 0.4281
Nd5 0.8374 0.6750 0.9284
Nd6 0.6601 0.4455 0.2547
Nd7 0.8399 0.9455 0.2453
Nd8 0.1601 0.0545 0.7547
Nd9 0.8258 0.6752 0.5719
Nd10 0.6626 0.1750 0.5716
Nd11 0.3374 0.8250 0.4284
Nd12 0.1626 0.3250 0.0716
Ru1 0.4586 0.1113 0.2462
Ru2 0.0414 0.6113 0.2538
Ru3 0.9586 0.3887 0.7462
Ru4 0.5414 0.8887 0.7538
Ni1 0.5000 0.5000 0.0000
Ni2 0.0000 0.0000 0.5000

---

# CsKBe2 | Alexandria | PBE-GGA | optimized geometry
# Calculated volume = 37.8 Å³ per atom
# Size of the total moment = 0.00 μB/cell
# N(E_F) = 1.39 states/eV per atom
# SG = Fm-3m
# Energy relative to the elements = 482 kJ/mol of formula units
data_CsKBe2
_chemical_formula_sum 'Cs1 K1 Be2'
_symmetry_space_group_name_H-M 'P 1'
_symmetry_Int_Tables_number 1
_cell_length_a 5.9792
_cell_length_b 5.9792
_cell_length_c 5.9792
_cell_angle_alpha 60.00
_cell_angle_beta 60.00
_cell_angle_gamma 60.00
loop_
_symmetry_equiv_pos_as_xyz
'x,y,z'
loop_
_atom_site_label
_atom_site_fract_x
_atom_site_fract_y
_atom_site_fract_z
Be1 0.2500 0.2500 0.2500
Be2 0.7500 0.7500 0.7500
Cs1 0.5000 0.5000 0.5000
K1 0.0000 0.0000 0.0000

---

# Li4CaNi | Alexandria | PBE-GGA | optimized geometry
# Calculated volume = 18.6 Å³ per atom
# Size of the total moment = 0.00 μB/cell
# N(E_F) = 0.59 states/eV per atom
# SG = F-43m
# Energy relative to the elements = 97 kJ/mol of formula units
data_Li4CaNi
_chemical_formula_sum 'Li4 Ca1 Ni1'
_symmetry_space_group_name_H-M 'P 1'
_symmetry_Int_Tables_number 1
_cell_length_a 5.4018
_cell_length_b 5.4018
_cell_length_c 5.4018
_cell_angle_alpha 60.00
_cell_angle_beta 60.00
_cell_angle_gamma 60.00
loop_
_symmetry_equiv_pos_as_xyz
'x,y,z'
loop_
_atom_site_label
_atom_site_fract_x
_atom_site_fract_y
_atom_site_fract_z
Li1 0.8663 0.3779 0.3779
Li2 0.3779 0.3779 0.3779
Li3 0.3779 0.8663 0.3779
Li4 0.3779 0.3779 0.8663
Ni1 0.7500 0.7500 0.7500
Ca1 0.0000 0.0000 0.0000

---

# SrAl2Co | Alexandria | PBE-GGA | optimized geometry
# Calculated volume = 20.9 Å³ per atom
# Size of the total moment = 0.29 μB/cell
# N(E_F) = 0.98 states/eV per atom
# SG = Pm
# Energy relative to the elements = -2 kJ/mol of formula units
data_SrAl2Co
_chemical_formula_sum 'Sr1 Al2 Co1'
_symmetry_space_group_name_H-M 'P 1'
_symmetry_Int_Tables_number 1
_cell_length_a 3.8940
_cell_length_b 3.0577
_cell_length_c 7.0313
_cell_angle_alpha 89.92
_cell_angle_beta 90.00
_cell_angle_gamma 90.00
loop_
_symmetry_equiv_pos_as_xyz
'x,y,z'
loop_
_atom_site_label
_atom_site_fract_x
_atom_site_fract_y
_atom_site_fract_z
Sr1 0.5000 0.6263 0.7514
Al1 0.0000 0.1254 0.0698
Al2 0.5000 0.1243 0.3303
Co1 0.0000 0.6240 0.3485

---

# Sm3Ho3Tm8 | Alexandria | PBE-GGA | optimized geometry
# Calculated volume = 31.7 Å³ per atom
# Size of the total moment = 0.00 μB/cell
# N(E_F) = 1.66 states/eV per atom
# SG = Immm
# Energy relative to the elements = 155 kJ/mol of formula units
data_Sm3Ho3Tm8
_chemical_formula_sum 'Sm3 Ho3 Tm8'
_symmetry_space_group_name_H-M 'P 1'
_symmetry_Int_Tables_number 1
_cell_length_a 5.5737
_cell_length_b 9.5686
_cell_length_c 9.5686
_cell_angle_alpha 101.72
_cell_angle_beta 73.07
_cell_angle_gamma 73.07
loop_
_symmetry_equiv_pos_as_xyz
'x,y,z'
loop_
_atom_site_label
_atom_site_fract_x
_atom_site_fract_y
_atom_site_fract_z
Tm1 0.1569 0.4461 0.2398
Tm2 0.6601 0.1187 0.5609
Tm3 0.6601 0.5609 0.1187
Tm4 0.3399 0.4391 0.8813
Tm5 0.3399 0.8813 0.4391
Tm6 0.8431 0.7602 0.5539
Tm7 0.8431 0.5539 0.7602
Tm8 0.1569 0.2398 0.4461
Ho1 0.7956 0.2045 0.2045
Ho2 0.5000 0.5000 0.5000
Ho3 0.2044 0.7955 0.7955
Sm1 0.0000 0.1832 0.8168
Sm2 0.5000 0.0000 0.0000
Sm3 0.0000 0.8168 0.1832